# 1
{
  "formula": "Mg8BiPd2",
  "functional": "PBE-GGA",
  "state": "optimized geometry",
  "cell": [[4.440, 0.045, -1.332], [-0.912, 6.469, -2.823], [0.047, -0.336, 8.287]],
  "species": ["Mg", "Mg", "Mg", "Mg", "Mg", "Mg", "Mg", "Mg", "Bi", "Pd", "Pd"],
  "frac_coords": [[0.972, 0.053, 0.579], [0.756, 0.939, 0.148], [0.134, 0.527, 0.905], [0.920, 0.415, 0.477], [0.352, 0.855, 0.339], [0.511, 0.705, 0.660], [0.301, 0.387, 0.239], [0.638, 0.256, 0.913], [0.136, 0.951, 0.909], [0.478, 0.294, 0.591], [0.801, 0.618, 0.240]],
  "ef_ev_per_atom": -0.299,
  "space_group": "No. 1"
}

# 2
{
  "formula": "Pr2GaBi",
  "functional": "PBE-GGA",
  "state": "optimized geometry",
  "cell": [[-1.142, -2.646, -2.903], [2.981, -2.553, 1.154], [-4.341, -3.043, 4.482]],
  "species": ["Pr", "Pr", "Bi", "Ga"],
  "frac_coords": [[0.000, 0.000, 0.754], [0.000, 0.000, 0.246], [0.500, 0.500, 0.500], [0.500, 0.500, 0.000]],
  "ef_ev_per_atom": -0.616,
  "space_group": "No. 123",
  "de_polymorph_mev_per_atom": 94
}

# 3
{
  "formula": "Mg3SiBi",
  "functional": "PBE-GGA",
  "state": "optimized geometry",
  "cell": [[-1.519, -4.811, -0.020], [4.411, -1.384, -2.021], [1.922, -0.626, 4.623]],
  "species": ["Mg", "Mg", "Mg", "Bi", "Si"],
  "frac_coords": [[0.500, 0.000, 0.000], [0.000, 0.500, 0.000], [0.000, 0.000, 0.500], [0.500, 0.500, 0.500], [0.000, 0.000, 0.000]],
  "space_group": "No. 221",
  "e_form_raw_ev_per_atom": 0.064,
  "de_polymorph_mev_per_atom": 0
}

# 4
{
  "formula": "Tm8Pt2Rh",
  "functional": "PBE-GGA",
  "state": "optimized geometry",
  "cell": [[-2.882, 2.885, 2.775], [-5.305, -3.785, -1.574], [4.834, -4.835, 5.663]],
  "species": ["Tm", "Tm", "Tm", "Tm", "Tm", "Tm", "Tm", "Tm", "Pt", "Pt", "Rh"],
  "frac_coords": [[0.407, 0.552, 0.814], [0.665, 0.968, 0.331], [0.203, 0.312, 0.407], [0.969, 0.211, 0.937], [0.031, 0.789, 0.063], [0.797, 0.688, 0.593], [0.593, 0.448, 0.186], [0.335, 0.032, 0.669], [0.813, 0.287, 0.626], [0.187, 0.713, 0.374], [0.500, 0.000, 0.000]],
  "ef_ev_per_atom": -0.695,
  "space_group": "No. 12",
  "de_polymorph_mev_per_atom": 0
}

What uncorrected energy values result from the calculations? In sequence: -2.76; -4.73; -2.75; -5.71 eV per atom.
What magnetic moment values result from the calculations? In sequence: 0.00; 0.00; 0.00; 0.00 Bohr magnetons per cell.